Here is a relaxed Y6Ho2Er5 crystal from the Alexandria database. Energies are from PBE.

Properties
Total magnetization in μB per formula unit: 0.00
DFT total energy in eV per atom: -5.34
Fermi-level density of states in states/eV/cell: 32.4
DFT formation energy in kJ/mol of formula units: 130

Cell: 11.614 20.122 3.564 Å, 90.00 90.00 90.00°
Space group Pbam (No. 55)
Inequivalent atoms, fractional coordinates:
1 Y 0.057 0.081 0.000 x4
2 Y 0.086 0.369 0.000 x4
3 Y 0.172 0.635 0.500 x4
4 Ho 0.165 0.790 0.000 x4
5 Er 0.000 0.500 0.500 x2
6 Er 0.092 0.227 0.500 x4
7 Er 0.199 0.950 0.500 x4

Here is a relaxed Y2Ho12Er crystal from the Alexandria database. Energies are from PBE.

Properties
Total magnetization in μB per formula unit: 0.00
DFT total energy in eV per atom: -4.77
Fermi-level density of states in states/eV/cell: 54.0
DFT formation energy in kJ/mol of formula units: 87

Cell: 6.501 6.502 24.688 Å, 86.85 82.49 65.05°
Space group P-1 (No. 2)
Inequivalent atoms, fractional coordinates:
1 Y 0.135 0.497 0.232 x2
2 Y 0.365 0.001 0.768 x2
3 Ho 0.020 0.751 0.958 x2
4 Ho 0.047 0.252 0.905 x2
5 Ho 0.115 0.010 0.299 x2
6 Ho 0.160 0.988 0.167 x2
7 Ho 0.178 0.252 0.641 x2
8 Ho 0.212 0.751 0.573 x2
9 Ho 0.288 0.748 0.427 x2
10 Ho 0.316 0.247 0.373 x2
11 Ho 0.325 0.493 0.833 x2
12 Ho 0.411 0.515 0.701 x2
13 Ho 0.449 0.249 0.102 x2
14 Ho 0.481 0.749 0.038 x2
15 Er 0.247 0.250 0.506 x2

Here is a relaxed Y2Ho3Er5 crystal from the Alexandria database. Energies are from PBE.

Properties
Total magnetization in μB per formula unit: 0.00
DFT total energy in eV per atom: -4.74
Fermi-level density of states in states/eV/cell: 75.3
DFT formation energy in kJ/mol of formula units: 198

Cell: 10.586 15.500 9.458 Å, 90.00 123.97 90.00°
Space group C2/c (No. 15)
Inequivalent atoms, fractional coordinates:
1 Y 0.154 0.123 0.047 x8
2 Ho 0.000 0.273 0.750 x4
3 Ho 0.144 0.373 0.549 x8
4 Er 0.000 0.025 0.250 x4
5 Er 0.000 0.225 0.250 x4
6 Er 0.000 0.480 0.750 x4
7 Er 0.238 0.126 0.724 x8

Here is a relaxed Y4HoEr4 crystal from the Alexandria database. Energies are from PBE.

Properties
Total magnetization in μB per formula unit: 0.00
Offset from the most stable computed form in meV per atom: 0
DFT total energy in eV per atom: -5.38
Fermi-level density of states in states/eV/cell: 26.0
DFT formation energy in kJ/mol of formula units: 23

Cell: 10.620 10.620 4.996 Å, 90.00 90.00 90.00°
Space group I4/mmm (No. 139)
Inequivalent atoms, fractional coordinates:
1 Y 0.167 0.167 0.000 x8
2 Ho 0.000 0.000 0.500 x2
3 Er 0.000 0.335 0.500 x8

Here is a relaxed Y3Ho2Er9 crystal from the Alexandria database. Energies are from PBE.

Properties
Total magnetization in μB per formula unit: 0.00
DFT total energy in eV per atom: -4.85
Fermi-level density of states in states/eV/cell: 22.4
DFT formation energy in kJ/mol of formula units: 163

Cell: 6.187 8.604 8.691 Å, 80.01 77.26 87.90°
Space group P-1 (No. 2)
Inequivalent atoms, fractional coordinates:
1 Y 0.000 0.000 0.000 x1
2 Y 0.247 0.377 0.272 x2
3 Ho 0.449 0.967 0.699 x2
4 Er 0.000 0.000 0.500 x1
5 Er 0.091 0.312 0.697 x2
6 Er 0.196 0.613 0.899 x2
7 Er 0.345 0.668 0.495 x2
8 Er 0.495 0.244 0.915 x2

Here is a relaxed Y6Ho12Er crystal from the Alexandria database. Energies are from PBE.

Properties
Total magnetization in μB per formula unit: 0.00
Offset from the most stable computed form in meV per atom: 0
DFT total energy in eV per atom: -4.99
Fermi-level density of states in states/eV/cell: 118.0
DFT formation energy in kJ/mol of formula units: 330

Cell: 12.2535 12.2535 14.1695 Å, 90.00 90.00 120.00°
Space group R-3 (No. 148, hexagonal axes)
Inequivalent atoms, fractional coordinates:
1 Y 0.0255 0.5895 0.2108 x18
2 Ho 0.0447 0.8633 0.3071 x18
3 Ho 0.0672 0.1958 0.9059 x18
4 Er 0.0000 0.0000 0.5000 x3

Here is a relaxed YHo3Er crystal from the Alexandria database. Energies are from PBE.

Properties
Total magnetization in μB per formula unit: 0.00
DFT total energy in eV per atom: -4.95
Fermi-level density of states in states/eV/cell: 18.3
DFT formation energy in kJ/mol of formula units: 1

Cell: 6.245 6.665 9.142 Å, 72.35 89.99 62.13°
Space group P-1 (No. 2)
Inequivalent atoms, fractional coordinates:
1 Y 0.034 0.101 0.150 x2
2 Ho 0.169 0.498 0.251 x2
3 Ho 0.234 0.699 0.550 x2
4 Ho 0.433 0.300 0.949 x2
5 Er 0.365 0.100 0.649 x2

Here is a relaxed Y7Ho2Er crystal from the Alexandria database. Energies are from PBE.

Properties
Total magnetization in μB per formula unit: 0.01
Offset from the most stable computed form in meV per atom: 583
DFT total energy in eV per atom: -5.20
Fermi-level density of states in states/eV/cell: 29.1
DFT formation energy in kJ/mol of formula units: 676

Cell: 8.783 16.098 5.577 Å, 90.00 90.00 90.00°
Space group Cmmm (No. 65)
Inequivalent atoms, fractional coordinates:
1 Y 0.000 0.000 0.000 x2
2 Y 0.000 0.284 0.500 x4
3 Y 0.177 0.386 0.000 x8
4 Ho 0.000 0.204 0.000 x4
5 Er 0.000 0.500 0.500 x2

Here is a relaxed Y5Ho5Er crystal from the Alexandria database. Energies are from PBE.

Properties
Total magnetization in μB per formula unit: 0.01
Offset from the most stable computed form in meV per atom: 0
DFT total energy in eV per atom: -5.28
Fermi-level density of states in states/eV/cell: 17.0
DFT formation energy in kJ/mol of formula units: 161

Cell: 6.829 6.829 8.574 Å, 75.02 75.04 70.21°
Space group P-1 (No. 2)
Inequivalent atoms, fractional coordinates:
1 Y 0.000 0.000 0.000 x1
2 Y 0.147 0.145 0.363 x2
3 Y 0.318 0.315 0.634 x2
4 Ho 0.000 0.500 0.000 x1
5 Ho 0.226 0.649 0.272 x2
6 Ho 0.351 0.772 0.729 x2
7 Er 0.500 0.000 0.000 x1

Here is a relaxed YHo2Er crystal from the Alexandria database. Energies are from PBE.

Properties
Total magnetization in μB per formula unit: 0.00
Offset from the most stable computed form in meV per atom: 21
DFT total energy in eV per atom: -5.02
Fermi-level density of states in states/eV/cell: 18.4
DFT formation energy in kJ/mol of formula units: 9

Cell: 3.5334 3.5334 34.5440 Å, 90.00 90.00 120.00°
Space group R-3m (No. 166, hexagonal axes)
Inequivalent atoms, fractional coordinates:
1 Y 0.0000 0.0000 0.0000 x3
2 Ho 0.0000 0.0000 0.2493 x6
3 Er 0.0000 0.0000 0.5000 x3

Here is a relaxed Y4Ho4Er3 crystal from the Alexandria database. Energies are from PBE.

Properties
Total magnetization in μB per formula unit: 0.00
Offset from the most stable computed form in meV per atom: 131
DFT total energy in eV per atom: -5.07
Fermi-level density of states in states/eV/cell: 32.1
DFT formation energy in kJ/mol of formula units: 205

Cell: 3.521 11.181 18.127 Å, 90.00 90.00 90.00°
Space group Immm (No. 71)
Inequivalent atoms, fractional coordinates:
1 Y 0.000 0.000 0.219 x4
2 Y 0.000 0.207 0.500 x4
3 Ho 0.000 0.256 0.329 x8
4 Er 0.000 0.000 0.000 x2
5 Er 0.000 0.500 0.109 x4

Here is a relaxed Y2Ho5Er4 crystal from the Alexandria database. Energies are from PBE.

Properties
Total magnetization in μB per formula unit: 1.01
Offset from the most stable computed form in meV per atom: 266
DFT total energy in eV per atom: -4.51
Fermi-level density of states in states/eV/cell: 43.3
DFT formation energy in kJ/mol of formula units: 433

Cell: 3.478 7.604 27.760 Å, 90.00 90.00 90.00°
Space group Immm (No. 71)
Inequivalent atoms, fractional coordinates:
1 Y 0.000 0.000 0.100 x4
2 Ho 0.000 0.264 0.197 x8
3 Ho 0.000 0.500 0.500 x2
4 Er 0.000 0.000 0.398 x4
5 Er 0.000 0.317 0.000 x4

Here is a relaxed YHoEr4 crystal from the Alexandria database. Energies are from PBE.

Properties
Total magnetization in μB per formula unit: 0.00
Offset from the most stable computed form in meV per atom: 123
DFT total energy in eV per atom: -4.74
Fermi-level density of states in states/eV/cell: 39.8
DFT formation energy in kJ/mol of formula units: 84

Cell: 8.705 14.571 6.405 Å, 90.00 110.42 90.00°
Space group C2/c (No. 15)
Inequivalent atoms, fractional coordinates:
1 Y 0.000 0.085 0.250 x4
2 Ho 0.000 0.500 0.250 x4
3 Er 0.093 0.304 0.535 x8
4 Er 0.204 0.130 0.879 x8

Here is a relaxed YHo2Er crystal from the Alexandria database. Energies are from PBE.

Properties
Total magnetization in μB per formula unit: 0.00
Offset from the most stable computed form in meV per atom: 21
DFT total energy in eV per atom: -5.02
Fermi-level density of states in states/eV/cell: 5.2
DFT formation energy in kJ/mol of formula units: 9

Cell: 3.531 3.531 9.997 Å, 90.00 90.00 90.00°
Space group P4/mmm (No. 123)
Inequivalent atoms, fractional coordinates:
1 Y 0.000 0.000 0.000 x1
2 Ho 0.500 0.500 0.253 x2
3 Er 0.000 0.000 0.500 x1

Here is a relaxed Y4Ho2Er crystal from the Alexandria database. Energies are from PBE.

Properties
Total magnetization in μB per formula unit: 0.00
Offset from the most stable computed form in meV per atom: 0
DFT total energy in eV per atom: -5.62
Fermi-level density of states in states/eV/cell: 24.6
DFT formation energy in kJ/mol of formula units: 23

Cell: 16.693 3.544 8.696 Å, 90.00 119.72 90.00°
Space group C2/m (No. 12)
Inequivalent atoms, fractional coordinates:
1 Y 0.140 0.000 0.334 x4
2 Y 0.204 0.000 0.793 x4
3 Ho 0.070 0.500 0.930 x4
4 Er 0.000 0.500 0.500 x2

Here is a relaxed Y4HoEr2 crystal from the Alexandria database. Energies are from PBE.

Properties
Total magnetization in μB per formula unit: 0.01
Offset from the most stable computed form in meV per atom: 0
DFT total energy in eV per atom: -5.62
Fermi-level density of states in states/eV/cell: 24.5
DFT formation energy in kJ/mol of formula units: 23

Cell: 16.665 3.540 8.694 Å, 90.00 119.61 90.00°
Space group C2/m (No. 12)
Inequivalent atoms, fractional coordinates:
1 Y 0.140 0.000 0.333 x4
2 Y 0.204 0.000 0.793 x4
3 Ho 0.000 0.500 0.500 x2
4 Er 0.070 0.500 0.930 x4

Here is a relaxed Y3Ho8Er4 crystal from the Alexandria database. Energies are from PBE.

Properties
Total magnetization in μB per formula unit: 0.10
DFT total energy in eV per atom: -4.54
Fermi-level density of states in states/eV/cell: 61.0
DFT formation energy in kJ/mol of formula units: 597

Cell: 13.261 12.780 6.691 Å, 90.00 120.07 90.00°
Space group C2/m (No. 12)
Inequivalent atoms, fractional coordinates:
1 Y 0.000 0.000 0.000 x2
2 Y 0.250 0.250 0.000 x4
3 Ho 0.000 0.254 0.000 x4
4 Ho 0.000 0.361 0.500 x4
5 Ho 0.229 0.500 0.959 x4
6 Ho 0.234 0.500 0.484 x4
7 Er 0.000 0.000 0.500 x2
8 Er 0.000 0.500 0.000 x2
9 Er 0.250 0.250 0.500 x4

Here is a relaxed Y2Ho5Er3 crystal from the Alexandria database. Energies are from PBE.

Properties
Total magnetization in μB per formula unit: 0.00
Offset from the most stable computed form in meV per atom: 0
DFT total energy in eV per atom: -4.74
Fermi-level density of states in states/eV/cell: 76.6
DFT formation energy in kJ/mol of formula units: 199

Cell: 10.596 15.505 9.479 Å, 90.00 123.95 90.00°
Space group C2/c (No. 15)
Inequivalent atoms, fractional coordinates:
1 Y 0.141 0.126 0.046 x8
2 Ho 0.000 0.231 0.250 x4
3 Ho 0.000 0.275 0.750 x4
4 Ho 0.000 0.473 0.750 x4
5 Ho 0.234 0.380 0.221 x8
6 Er 0.000 0.024 0.250 x4
7 Er 0.156 0.379 0.549 x8

Here is a relaxed YHo4Er5 crystal from the Alexandria database. Energies are from PBE.

Properties
Total magnetization in μB per formula unit: 0.00
Offset from the most stable computed form in meV per atom: 0
DFT total energy in eV per atom: -4.70
Fermi-level density of states in states/eV/cell: 18.3
DFT formation energy in kJ/mol of formula units: 57

Cell: 3.529 6.693 13.791 Å, 82.75 89.86 75.28°
Space group P-1 (No. 2)
Inequivalent atoms, fractional coordinates:
1 Y 0.000 0.000 0.000 x1
2 Ho 0.114 0.300 0.806 x2
3 Ho 0.186 0.169 0.213 x2
4 Er 0.184 0.126 0.584 x2
5 Er 0.461 0.583 0.615 x2
6 Er 0.500 0.500 0.000 x1